# Th3Zn6Pd5, optimized geometry, DFT PBE-GGA
data_Th3Zn6Pd5
_cell_length_a 4.223
_cell_length_b 8.316
_cell_length_c 8.316
_cell_angle_alpha 74.01
_cell_angle_beta 75.29
_cell_angle_gamma 75.29
_symmetry_space_group_name_H-M 'P 1'
_symmetry_Int_Tables_number 1
_symmetry_space_group_name_Hall 'P 1'
loop_
_atom_site_label
_atom_site_fract_x
_atom_site_fract_y
_atom_site_fract_z
Zn1 0.137 0.150 0.576
Zn2 0.137 0.576 0.150
Zn3 0.863 0.424 0.850
Zn4 0.500 0.683 0.317
Zn5 0.863 0.850 0.424
Zn6 0.500 0.317 0.683
Pd1 0.347 0.015 0.290
Pd2 0.653 0.985 0.710
Pd3 0.653 0.710 0.985
Pd4 0.347 0.290 0.015
Pd5 0.000 0.500 0.500
Th1 0.293 0.707 0.707
Th2 0.707 0.293 0.293
Th3 0.000 0.000 0.000
# **DOS at the Fermi energy**: 7.2 states/eV/cell
# **Symmetry**: No. 71
# **DFT total energy**: -4.579 eV per atom
# **Calculated density**: 10.1 g cm⁻³
# **Total magnetization**: 0.00 μB per formula unit
# **ΔH_f (0 K)**: -0.5888 eV/atom